NaCrBr2Cl: optimized geometry, GGA-PBE. Values from VASP.

## Properties
Energy relative to the elements, uncorrected   -0.9937 eV per atom
Magnetization   0.800 μB/atom

Geometry as Quantum ESPRESSO input:
```
&SYSTEM
  ibrav = 0, nat = 5, ntyp = 4
/
ATOMIC_SPECIES
Cr 52.00 Cr.upf
Na 22.99 Na.upf
Br 79.90 Br.upf
Cl 35.45 Cl.upf
ATOMIC_POSITIONS crystal
Cr 0.000 0.000 0.000
Na 0.500 0.500 0.500
Br 0.000 0.500 0.000
Br 0.500 0.000 0.000
Cl 0.000 0.000 0.500
CELL_PARAMETERS angstrom
-4.270 -2.995 -0.824
3.088 -3.944 -1.671
0.304 -1.675 4.515
```